# 1
An optimized crystal structure of AcTbNiHg. Source: Alexandria, functional GGA-PBE.

Unit cell a=7.506 b=7.506 c=7.506 alpha=90.00 beta=90.00 gamma=90.00
Space group F-43m (No. 216)
Inequivalent atoms, fractional coordinates:
Ac (0.000, 0.000, 0.000)
Tb (0.000, 0.000, 0.500)
Ni (0.250, 0.250, 0.750)
Hg (0.250, 0.250, 0.250)

crystal system: cubic
total energy: -3.941 eV/atom

---

# 2
An optimized crystal structure of AcTmNiHg. Source: Alexandria, functional GGA-PBE.

Unit cell a=7.453 b=7.453 c=7.453 alpha=90.00 beta=90.00 gamma=90.00
Space group F-43m (No. 216)
Inequivalent atoms, fractional coordinates:
Ac (0.000, 0.000, 0.000)
Tm (0.000, 0.000, 0.500)
Ni (0.250, 0.250, 0.250)
Hg (0.250, 0.250, 0.750)

crystal system: cubic
total energy: -3.895 eV/atom

---

# 3
An optimized crystal structure of AcYNiHg. Source: Alexandria, functional GGA-PBE.

Unit cell a=7.506 b=7.506 c=7.506 alpha=90.00 beta=90.00 gamma=90.00
Space group F-43m (No. 216)
Inequivalent atoms, fractional coordinates:
Ac (0.000, 0.000, 0.000)
Y (0.000, 0.000, 0.500)
Ni (0.250, 0.250, 0.250)
Hg (0.250, 0.250, 0.750)

crystal system: cubic
total energy: -4.401 eV/atom

---

# 4
An optimized crystal structure of Ac2ZnNiHg. Source: Alexandria, functional GGA-PBE.

Unit cell a=7.724 b=4.673 c=8.054 alpha=90.00 beta=110.74 gamma=90.00
Space group P2_1/m (No. 11)
Inequivalent atoms, fractional coordinates:
Ac (0.142, 0.250, 0.347)
Ac (0.279, 0.250, 0.941)
Zn (0.418, 0.750, 0.287)
Ni (0.093, 0.750, 0.063)
Hg (0.355, 0.750, 0.654)

crystal system: monoclinic
total energy: -3.466 eV/atom

---

# 5
An optimized crystal structure of AcNpHg2O6. Source: Alexandria, functional GGA-PBE.

Unit cell a=6.0272 b=6.0272 c=16.0718 alpha=90.00 beta=90.00 gamma=120.00
Space group R-3 (No. 148, hexagonal axes)
Inequivalent atoms, fractional coordinates:
Ac (0.0000, 0.0000, 0.0000)
Np (0.0000, 0.0000, 0.5000)
Hg (0.0000, 0.0000, 0.2489)
O (0.0242, 0.2985, 0.5770)

formation energy (no corrections): -1.968 eV/atom
crystal system: trigonal

---

# 6
An optimized crystal structure of Ac2NpHgO6. Source: Alexandria, functional GGA-PBE.

Unit cell a=6.154 b=6.233 c=11.440 alpha=90.00 beta=119.19 gamma=90.00
Space group P2_1/c (No. 14)
Inequivalent atoms, fractional coordinates:
Ac (0.226, 0.060, 0.253)
Np (0.000, 0.000, 0.500)
Hg (0.500, 0.000, 0.000)
O (0.011, 0.247, 0.375)
O (0.136, 0.683, 0.906)
O (0.351, 0.106, 0.655)

formation energy (no corrections): -2.801 eV/atom
crystal system: monoclinic

---

# 7
An optimized crystal structure of AcNpHgSb. Source: Alexandria, functional GGA-PBE.

Unit cell a=7.848 b=7.848 c=7.848 alpha=90.00 beta=90.00 gamma=90.00
Space group F-43m (No. 216)
Inequivalent atoms, fractional coordinates:
Ac (0.000, 0.000, 0.000)
Np (0.000, 0.000, 0.500)
Hg (0.250, 0.250, 0.250)
Sb (0.250, 0.250, 0.750)

formation energy (no corrections): -0.200 eV/atom
crystal system: cubic

---

# 8
An optimized crystal structure of Ac2NpHgSe5. Source: Alexandria, functional GGA-PBE.

Unit cell a=4.324 b=18.193 c=12.953 alpha=90.00 beta=90.00 gamma=90.00
Space group Cmc2_1 (No. 36)
Inequivalent atoms, fractional coordinates:
Ac (0.000, 0.121, 0.000)
Ac (0.000, 0.129, 0.622)
Np (0.000, 0.193, 0.319)
Hg (0.000, 0.451, 0.775)
Se (0.000, 0.041, 0.397)
Se (0.000, 0.294, 0.973)
Se (0.000, 0.304, 0.660)
Se (0.000, 0.355, 0.315)
Se (0.000, 0.499, 0.084)

formation energy (no corrections): -1.368 eV/atom
crystal system: orthorhombic

---

# 9
An optimized crystal structure of AcNpSnHg. Source: Alexandria, functional GGA-PBE.

Unit cell a=7.868 b=7.868 c=7.868 alpha=90.00 beta=90.00 gamma=90.00
Space group F-43m (No. 216)
Inequivalent atoms, fractional coordinates:
Ac (0.000, 0.000, 0.000)
Np (0.000, 0.000, 0.500)
Sn (0.250, 0.250, 0.250)
Hg (0.250, 0.250, 0.750)

crystal system: cubic
total energy: -5.441 eV/atom

---

# 10
An optimized crystal structure of Ac2NpHgTe5. Source: Alexandria, functional GGA-PBE.

Unit cell a=4.566 b=19.564 c=13.792 alpha=90.00 beta=90.00 gamma=90.00
Space group Cmc2_1 (No. 36)
Inequivalent atoms, fractional coordinates:
Ac (0.000, 0.121, 0.000)
Ac (0.000, 0.126, 0.624)
Np (0.000, 0.190, 0.320)
Hg (0.000, 0.437, 0.779)
Te (0.000, 0.039, 0.400)
Te (0.000, 0.295, 0.977)
Te (0.000, 0.301, 0.656)
Te (0.000, 0.354, 0.315)
Te (0.000, 0.498, 0.591)

formation energy (no corrections): -1.026 eV/atom
crystal system: orthorhombic

---

# 11
An optimized crystal structure of Ac3HgO3. Source: Alexandria, functional GGA-PBE.

Unit cell a=7.2854 b=7.2854 c=24.5756 alpha=90.00 beta=90.00 gamma=120.00
Space group R-3 (No. 148, hexagonal axes)
Inequivalent atoms, fractional coordinates:
Ac (0.0011, 0.3396, 0.3980)
Hg (0.0000, 0.0000, 0.1666)
O (0.0025, 0.3298, 0.6292)

formation energy (no corrections): -2.418 eV/atom
crystal system: trigonal

---

# 12
An optimized crystal structure of AcHg2O. Source: Alexandria, functional GGA-PBE.

Unit cell a=4.287 b=4.316 c=11.188 alpha=90.00 beta=99.02 gamma=90.00
Space group P2_1/m (No. 11)
Inequivalent atoms, fractional coordinates:
Ac (0.205, 0.250, 0.387)
Hg (0.206, 0.250, 0.071)
Hg (0.352, 0.250, 0.801)
O (0.251, 0.750, 0.499)

formation energy (no corrections): -1.605 eV/atom
crystal system: monoclinic

---

# 13
An optimized crystal structure of Ac3HgO6. Source: Alexandria, functional GGA-PBE.

Unit cell a=9.921 b=12.341 c=6.064 alpha=90.00 beta=90.00 gamma=90.00
Space group Cmc2_1 (No. 36)
Inequivalent atoms, fractional coordinates:
Ac (0.000, 0.105, 0.000)
Ac (0.199, 0.387, 0.953)
Hg (0.000, 0.334, 0.444)
O (0.000, 0.281, 0.776)
O (0.000, 0.468, 0.210)
O (0.158, 0.013, 0.724)
O (0.162, 0.235, 0.222)

formation energy (no corrections): -2.522 eV/atom
crystal system: orthorhombic

---

# 14
An optimized crystal structure of Ac3HgO. Source: Alexandria, functional GGA-PBE.

Unit cell a=5.298 b=5.298 c=5.298 alpha=90.00 beta=90.00 gamma=90.00
Space group Pm-3m (No. 221)
Inequivalent atoms, fractional coordinates:
Ac (0.000, 0.000, 0.500)
Hg (0.500, 0.500, 0.500)
O (0.000, 0.000, 0.000)

formation energy (no corrections): -1.179 eV/atom
energy above the most stable polymorph in this dataset: 20 meV/atom
crystal system: cubic

---

# 15
An optimized crystal structure of Ac2HgO4. Source: Alexandria, functional GGA-PBE.

Unit cell a=14.559 b=4.102 c=10.681 alpha=90.00 beta=119.21 gamma=90.00
Space group C2/m (No. 12)
Inequivalent atoms, fractional coordinates:
Ac (0.119, 0.000, 0.454)
Ac (0.159, 0.500, 0.797)
Hg (0.118, 0.500, 0.163)
O (0.038, 0.500, 0.273)
O (0.079, 0.000, 0.655)
O (0.205, 0.500, 0.064)
O (0.222, 0.500, 0.605)

formation energy (no corrections): -2.557 eV/atom
crystal system: monoclinic

---

# 16
An optimized crystal structure of Ac2HgO2. Source: Alexandria, functional GGA-PBE.

Unit cell a=4.303 b=4.303 c=13.714 alpha=90.00 beta=90.00 gamma=90.00
Space group I4/mmm (No. 139)
Inequivalent atoms, fractional coordinates:
Ac (0.000, 0.000, 0.159)
Hg (0.000, 0.000, 0.500)
O (0.000, 0.500, 0.250)

formation energy (no corrections): -2.415 eV/atom
crystal system: tetragonal

---

# 17
An optimized crystal structure of Ac5Hg2O2. Source: Alexandria, functional GGA-PBE.

Unit cell a=20.775 b=7.470 c=7.339 alpha=90.00 beta=90.00 gamma=90.00
Space group Ima2 (No. 46)
Inequivalent atoms, fractional coordinates:
Ac (0.011, 0.246, 0.000)
Ac (0.148, 0.552, 0.232)
Ac (0.250, 0.110, 0.168)
Hg (0.105, 0.516, 0.758)
O (0.000, 0.000, 0.746)
O (0.250, 0.083, 0.826)

formation energy (no corrections): -1.364 eV/atom
crystal system: orthorhombic

---

# 18
An optimized crystal structure of Ac3HgO2. Source: Alexandria, functional GGA-PBE.

Unit cell a=9.687 b=12.891 c=5.908 alpha=90.00 beta=90.00 gamma=90.00
Space group Cmcm (No. 63)
Inequivalent atoms, fractional coordinates:
Ac (0.000, 0.097, 0.250)
Ac (0.207, 0.388, 0.250)
Hg (0.000, 0.285, 0.750)
O (0.163, 0.000, 0.000)

formation energy (no corrections): -1.949 eV/atom
crystal system: orthorhombic

---

# 19
An optimized crystal structure of Ac2HgO5. Source: Alexandria, functional GGA-PBE.

Unit cell a=5.126 b=5.793 c=6.463 alpha=89.68 beta=66.82 gamma=63.88
Space group P-1 (No. 2)
Inequivalent atoms, fractional coordinates:
Ac (0.029, 0.196, 0.247)
Hg (0.500, 0.500, 0.000)
O (0.000, 0.500, 0.000)
O (0.218, 0.724, 0.339)
O (0.391, 0.847, 0.871)

formation energy (no corrections): -1.968 eV/atom
crystal system: triclinic

---

# 20
An optimized crystal structure of Ac4HgO7. Source: Alexandria, functional GGA-PBE.

Unit cell a=13.992 b=4.380 c=9.937 alpha=90.00 beta=134.12 gamma=90.00
Space group C2/m (No. 12)
Inequivalent atoms, fractional coordinates:
Ac (0.085, 0.000, 0.391)
Ac (0.248, 0.500, 0.837)
Hg (0.000, 0.500, 0.000)
O (0.000, 0.000, 0.000)
O (0.091, 0.500, 0.874)
O (0.137, 0.000, 0.690)
O (0.205, 0.500, 0.554)

formation energy (no corrections): -2.786 eV/atom
crystal system: monoclinic

---

Computed values of volume (unit: Å³/cell) for the preceding records, in sequence: 423 414 423 272 506 383 483 1019 487 1232 1129 204 742 149 557 254 1139 738 155 437.